The following is a GGA-PBE calculation of an optimized crystal structure of LiTmPtAu, from Alexandria via LeMat-Bulk.

Unit cell a=6.6835 b=6.6835 c=6.6835 alpha=90.00 beta=90.00 gamma=90.00
Space group F-43m (No. 216)
Asymmetric unit:
Li 0.0000 0.0000 0.0000 [4 per cell]
Tm 0.0000 0.0000 0.5000 [4 per cell]
Pt 0.2500 0.2500 0.7500 [4 per cell]
Au 0.2500 0.2500 0.2500 [4 per cell]

Summary:
Crystal system: cubic
ΔE_f (eV per atom): -0.848

---

The following is a GGA-PBE calculation of an optimized crystal structure of LiUPtAu, from Alexandria via LeMat-Bulk.

Unit cell a=6.7803 b=6.7803 c=6.7803 alpha=90.00 beta=90.00 gamma=90.00
Space group F-43m (No. 216)
Asymmetric unit:
Li 0.0000 0.0000 0.0000 [4 per cell]
U 0.0000 0.0000 0.5000 [4 per cell]
Pt 0.2500 0.2500 0.2500 [4 per cell]
Au 0.2500 0.2500 0.7500 [4 per cell]

Summary:
Crystal system: cubic
ΔE_f (eV per atom): -0.369